A relaxed TcOs3Au crystal. Source: the Alexandria database, functional PBE.

total moment	0.374	μB/atom
calculated formation energy	2.261	eV per atom
electronic total energy	-7.205	eV/atom
ΔE to the lowest computed polymorph	0	meV per atom

Cell lengths 4.6581, 4.6581, 4.6581 Å; angles 90.00, 90.00, 90.00 degrees
Space group Pm-3m (No. 221)
Asymmetric unit:
Tc 0.0000 0.0000 0.0000 [1 per cell]
Os 0.0000 0.0000 0.5000 [3 per cell]
Au 0.5000 0.5000 0.5000 [1 per cell]